{"formula": "BeCd2Br", "functional": "PBE-GGA", "state": "optimized geometry", "lattice": [[6.479, 0.016, 0.000], [3.991, 5.104, 0.000], [-5.235, -2.560, 2.832]], "species": ["Cd", "Cd", "Br", "Be"], "fractional_positions": [[0.500, 0.500, 0.000], [0.000, 0.000, 0.000], [0.750, 0.250, 0.500], [0.250, 0.750, 0.500]], "magnetic_moment_mub_per_cell": 0.0, "polymorph_energy_mev_per_atom": 393.9, "dos_ef_per_ev_cell": 1.5, "raw_formation_energy_mev_per_atom": 466.9, "sg": "I4/mmm (139)", "rho_g_cm3": 5.575}